[1]
A relaxed structure of Pm6Sb2Ru. Source: the Alexandria database, functional GGA-PBE.

abc: 4.172 8.509 8.510
angles: 120.00 90.00 90.00
Atoms (fractional coordinates):
Pm 0.500 0.594 0.000
Pm 0.500 0.407 0.407
Pm 0.500 0.000 0.593
Pm 0.000 0.239 0.000
Pm 0.000 0.761 0.760
Pm 0.000 0.000 0.240
Sb 0.000 0.333 0.667
Sb 0.000 0.667 0.333
Ru 0.500 0.999 0.000

Size of the total moment   0.00 μB per formula unit
E_form (uncorrected)   -0.64 eV/atom
Space group   No. 38

***

[2]
A relaxed structure of PmSbRu. Source: the Alexandria database, functional GGA-PBE.

abc: 4.697 4.697 4.697
angles: 60.00 60.00 60.00
Atoms (fractional coordinates):
Sb 0.500 0.500 0.500
Ru 0.250 0.250 0.250
Pm 0.000 0.000 0.000

Size of the total moment   0.00 μB per formula unit
E_form (uncorrected)   -0.43 eV/atom
Space group   No. 216

***

[3]
A relaxed structure of Pm4Sb2Ru. Source: the Alexandria database, functional GGA-PBE.

abc: 5.142 5.142 9.111
angles: 106.39 106.39 90.00
Atoms (fractional coordinates):
Sb 0.638 0.638 0.275
Sb 0.362 0.362 0.725
Ru 0.000 0.000 0.000
Pm 0.826 0.826 0.652
Pm 0.174 0.174 0.348
Pm 0.000 0.500 0.000
Pm 0.500 0.000 0.000

Size of the total moment   0.00 μB per formula unit
E_form (uncorrected)   -0.55 eV/atom
Space group   No. 139

***

[4]
A relaxed structure of PmTcSbRu. Source: the Alexandria database, functional GGA-PBE.

abc: 4.734 4.734 4.734
angles: 60.00 60.00 60.00
Atoms (fractional coordinates):
Sb 0.750 0.750 0.750
Ru 0.500 0.500 0.500
Tc 0.000 0.000 0.000
Pm 0.250 0.250 0.250

Size of the total moment   0.00 μB per formula unit
E_form (uncorrected)   -0.08 eV/atom
Space group   No. 216

***

[5]
A relaxed structure of PmZnSbRu. Source: the Alexandria database, functional GGA-PBE.

abc: 4.832 4.832 4.832
angles: 60.00 60.00 60.00
Atoms (fractional coordinates):
Sb 0.000 0.000 0.000
Zn 0.250 0.250 0.250
Ru 0.750 0.750 0.750
Pm 0.500 0.500 0.500

Size of the total moment   0.00 μB per formula unit
E_form (uncorrected)   -0.19 eV/atom
Space group   No. 216

***

[6]
A relaxed structure of PmScRu4. Source: the Alexandria database, functional GGA-PBE.

abc: 5.304 5.304 5.304
angles: 60.00 60.00 60.00
Atoms (fractional coordinates):
Sc 0.000 0.000 0.000
Ru 0.625 0.625 0.124
Ru 0.625 0.124 0.625
Ru 0.625 0.625 0.625
Ru 0.124 0.625 0.625
Pm 0.250 0.250 0.250

Size of the total moment   0.00 μB per formula unit
DFT total energy   -49.60 eV per cell
Space group   No. 216

***

[7]
A relaxed structure of PmSc4Ru5. Source: the Alexandria database, functional GGA-PBE.

abc: 3.265 3.265 16.341
angles: 90.00 90.00 90.00
Atoms (fractional coordinates):
Pm 0.000 0.000 0.000
Sc 0.000 0.000 0.210
Sc 0.000 0.000 0.403
Sc 0.000 0.000 0.597
Sc 0.000 0.000 0.790
Ru 0.500 0.500 0.113
Ru 0.500 0.500 0.307
Ru 0.500 0.500 0.500
Ru 0.500 0.500 0.693
Ru 0.500 0.500 0.887

Size of the total moment   0.00 μB per formula unit
DFT total energy   -80.76 eV per cell
Space group   No. 123

***

[8]
A relaxed structure of PmSc5Ru6. Source: the Alexandria database, functional GGA-PBE.

abc: 4.600 6.525 7.970
angles: 114.16 106.77 90.00
Atoms (fractional coordinates):
Sc 0.672 0.172 0.344
Sc 0.333 0.333 0.667
Sc 0.000 0.500 0.000
Sc 0.667 0.667 0.333
Sc 0.328 0.828 0.656
Ru 0.830 0.576 0.661
Ru 0.830 0.085 0.661
Ru 0.500 0.741 0.000
Ru 0.500 0.259 0.000
Ru 0.170 0.915 0.339
Ru 0.170 0.424 0.339
Pm 0.000 0.000 0.000

Size of the total moment   0.00 μB per formula unit
DFT total energy   -97.44 eV per cell
Space group   No. 71

***

[9]
A relaxed structure of PmSc5Ru4. Source: the Alexandria database, functional GGA-PBE.

abc: 3.242 3.242 18.156
angles: 90.00 90.00 90.00
Atoms (fractional coordinates):
Pm 0.000 0.000 0.000
Sc 0.500 0.500 0.153
Sc 0.500 0.500 0.326
Sc 0.500 0.500 0.500
Sc 0.500 0.500 0.674
Sc 0.500 0.500 0.847
Ru 0.000 0.000 0.232
Ru 0.000 0.000 0.411
Ru 0.000 0.000 0.589
Ru 0.000 0.000 0.768

Size of the total moment   0.00 μB per formula unit
DFT total energy   -78.08 eV per cell
Space group   No. 123

***

[10]
A relaxed structure of Pm2ScRu. Source: the Alexandria database, functional GGA-PBE.

abc: 3.473 3.473 10.645
angles: 80.61 80.61 60.00
Atoms (fractional coordinates):
Sc 0.000 0.000 0.000
Ru 0.500 0.500 0.500
Pm 0.103 0.103 0.692
Pm 0.897 0.897 0.308

Size of the total moment   0.00 μB per formula unit
DFT total energy   -24.14 eV per cell
Space group   No. 166

***

[11]
A relaxed structure of PmScRu2. Source: the Alexandria database, functional GGA-PBE.

abc: 4.735 4.735 4.735
angles: 60.00 60.00 60.00
Atoms (fractional coordinates):
Sc 0.500 0.500 0.500
Ru 0.250 0.250 0.250
Ru 0.750 0.750 0.750
Pm 0.000 0.000 0.000

Size of the total moment   0.00 μB per formula unit
DFT total energy   -30.80 eV per cell
Space group   No. 225

***

[12]
A relaxed structure of PmScRu2. Source: the Alexandria database, functional GGA-PBE.

abc: 3.341 3.341 6.728
angles: 90.00 90.00 90.00
Atoms (fractional coordinates):
Sc 0.500 0.500 0.000
Ru 0.000 0.000 0.769
Ru 0.000 0.000 0.231
Pm 0.500 0.500 0.500

Size of the total moment   0.00 μB per formula unit
DFT total energy   -30.78 eV per cell
Space group   No. 123

***

The records above give, respectively, density values of 7.71, 8.33, 6.95, 10.31, 9.02, 9.35, 7.91, 7.83, 6.74, 6.63, 8.67, 8.67 g cm⁻³.